Compound: BaYSc2
Source: Alexandria
Functional: PBE
Structure: relaxed Values from VASP.

```
&SYSTEM
  ibrav = 0, nat = 4, ntyp = 3
/
ATOMIC_SPECIES
Ba 137.33 Ba.upf
Sc 44.96 Sc.upf
Y 88.91 Y.upf
CELL_PARAMETERS angstrom
-5.2559 2.7791 1.4809
-4.5361 -4.0601 -0.6931
5.3085 -0.4053 3.0326
ATOMIC_POSITIONS crystal
Ba 0.7500 0.2500 0.5000
Sc 0.0000 0.0000 0.0000
Sc 0.2500 0.7500 0.5000
Y 0.5000 0.5000 0.0000
```

## Properties
size of the total moment: 0.003 μB per atom
E above lowest polymorph: 159.4 meV/atom
formation enthalpy at 0 K: 0.35 eV per atom
crystal system: tetragonal